CsMnF3: optimized geometry, GGA+U. Values from VASP.

```
&SYSTEM
  ibrav = 0, nat = 10, ntyp = 3
/
ATOMIC_SPECIES
Cs 132.91 Cs.upf
Mn 54.94 Mn.upf
F 19.00 F.upf
CELL_PARAMETERS angstrom
4.279 0.000 0.000
0.000 6.613 0.000
-2.154 0.000 6.800
ATOMIC_POSITIONS crystal
Cs 0.204 0.250 0.406
Cs 0.796 0.750 0.594
Mn 0.486 0.250 0.974
Mn 0.514 0.750 0.026
F 0.015 0.750 0.029
F 0.393 0.515 0.787
F 0.393 0.985 0.787
F 0.607 0.015 0.213
F 0.607 0.485 0.213
F 0.985 0.250 0.971
```

- raw total energy (eV/atom) = -5.463
- mass density (g/cm³) = 4.23